1.
## RbTl2NiAu (PBE-GGA)

Data for crystalline RbTl2NiAu at its relaxed geometry.

Lattice parameters (Å, degrees): 5.1111 5.1111 5.3343 90.00 90.00 90.00
Last column: nearest neighbours and their distance in Å.
Space group P4/mmm (No. 123)
Asymmetric unit:
1 Rb 0.0000 0.0000 0.0000 (multiplicity 1)  4 Au 3.61, 8 Tl 3.69
2 Tl 0.0000 0.5000 0.5000 (multiplicity 2)  2 Ni 2.56
3 Ni 0.5000 0.5000 0.5000 (multiplicity 1)  4 Tl 2.56, 2 Au 2.67
4 Au 0.5000 0.5000 0.0000 (multiplicity 1)  2 Ni 2.67

***

2.
## ReNiAu3 (PBE-GGA)

Data for crystalline ReNiAu3 at its relaxed geometry.

Lattice parameters (Å, degrees): 5.0095 5.0095 5.0095 90.00 90.00 90.00
Last column: nearest neighbours and their distance in Å.
Space group Pm-3m (No. 221)
Asymmetric unit:
1 Re 0.0000 0.0000 0.0000 (multiplicity 1)  6 Au 2.50
2 Ni 0.5000 0.5000 0.5000 (multiplicity 1)  12 Au 3.54
3 Au 0.0000 0.0000 0.5000 (multiplicity 3)  2 Re 2.50

Calculated values
The excess energy over the best structure of this formula in the dataset comes out at 0.201 eV per atom.

***

3.
## ReNi2Au (PBE-GGA)

Data for crystalline ReNi2Au at its relaxed geometry.

Lattice parameters (Å, degrees): 8.5003 2.6759 4.9306 90.00 98.13 90.00
Last column: nearest neighbours and their distance in Å.
Space group C2/m (No. 12)
Asymmetric unit:
1 Re 0.0000 0.0000 0.0000 (multiplicity 2)  6 Ni 2.54-2.58, 2 Re 2.68, 4 Au 2.80
2 Ni 0.2461 0.5000 0.2149 (multiplicity 4)  4 Ni 2.51-2.68, 3 Re 2.54-2.58, 3 Au 2.68-2.75
3 Au 0.0000 0.5000 0.5000 (multiplicity 2)  2 Au 2.68, 6 Ni 2.68-2.75, 4 Re 2.80

Calculated values
The excess energy over the best structure of this formula in the dataset comes out at 0.163 eV per atom.

***

4.
## ReNiAu (PBE-GGA)

Data for crystalline ReNiAu at its relaxed geometry.

Lattice parameters (Å, degrees): 5.7656 5.7656 5.7656 90.00 90.00 90.00
Last column: nearest neighbours and their distance in Å.
Space group F-43m (No. 216)
Asymmetric unit:
1 Re 0.0000 0.0000 0.0000 (multiplicity 4)  4 Ni 2.50
2 Ni 0.2500 0.2500 0.7500 (multiplicity 4)  4 Re 2.50, 4 Au 2.50
3 Au 0.0000 0.0000 0.5000 (multiplicity 4)  4 Ni 2.50

Calculated values
The excess energy over the best structure of this formula in the dataset comes out at 0.429 eV per atom.

***

5.
## ReNi2Au (PBE-GGA)

Data for crystalline ReNi2Au at its relaxed geometry.

Lattice parameters (Å, degrees): 5.9912 5.9912 5.9912 90.00 90.00 90.00
Last column: nearest neighbours and their distance in Å.
Space group Fm-3m (No. 225)
Asymmetric unit:
1 Re 0.0000 0.0000 0.0000 (multiplicity 4)  8 Ni 2.59
2 Ni 0.2500 0.2500 0.2500 (multiplicity 8)  4 Re 2.59, 4 Au 2.59
3 Au 0.0000 0.0000 0.5000 (multiplicity 4)  8 Ni 2.59

Calculated values
The excess energy over the best structure of this formula in the dataset comes out at 0.275 eV per atom.

***

6.
## ReNi2Au (PBE-GGA)

Data for crystalline ReNi2Au at its relaxed geometry.

Lattice parameters (Å, degrees): 2.7334 2.7334 25.9176 90.00 90.00 120.00
Last column: nearest neighbours and their distance in Å.
Space group R3m (No. 160, hexagonal axes)
Asymmetric unit:
1 Re 0.0000 0.0000 0.0000 (multiplicity 3)  3 Ni 2.54, 6 Re 2.73
2 Ni 0.0000 0.0000 0.4852 (multiplicity 3)  9 Ni 2.51-2.73, 3 Au 2.72
3 Ni 0.0000 0.0000 0.7433 (multiplicity 3)  9 Ni 2.51-2.73, 3 Re 2.54
4 Au 0.0000 0.0000 0.2374 (multiplicity 3)  3 Ni 2.72, 6 Au 2.73, 3 Re 2.94

Calculated values
The excess energy over the best structure of this formula in the dataset comes out at 0.240 eV per atom.

***

7.
## ReNiAu (PBE-GGA)

Data for crystalline ReNiAu at its relaxed geometry.

Lattice parameters (Å, degrees): 2.6973 3.8541 8.4635 90.00 90.00 90.00
Last column: nearest neighbours and their distance in Å.
Space group Imm2 (No. 44)
Asymmetric unit:
1 Re 0.0000 0.0000 0.0000 (multiplicity 2)  4 Ni 2.62, 5 Au 2.68-2.82, 2 Re 2.70
2 Ni 0.0000 0.0000 0.3648 (multiplicity 2)  4 Re 2.62, 5 Au 2.69-2.81, 2 Ni 2.70
3 Au 0.0000 0.0000 0.6828 (multiplicity 2)  5 Re 2.68-2.82, 5 Ni 2.69-2.81, 2 Au 2.70

Calculated values
The excess energy over the best structure of this formula in the dataset comes out at 0.175 eV per atom.

***

8.
## ReNiAu3 (PBE-GGA)

Data for crystalline ReNiAu3 at its relaxed geometry.

Lattice parameters (Å, degrees): 4.7027 4.7027 4.7027 90.00 90.00 90.00
Last column: nearest neighbours and their distance in Å.
Space group Pm-3m (No. 221)
Asymmetric unit:
1 Re 0.0000 0.0000 0.0000 (multiplicity 1)  12 Au 3.33
2 Ni 0.5000 0.5000 0.5000 (multiplicity 1)  6 Au 2.35
3 Au 0.0000 0.5000 0.5000 (multiplicity 3)  2 Ni 2.35

Calculated values
The excess energy over the best structure of this formula in the dataset comes out at 0.000 eV per atom.

***

9.
## ReNi2Au (PBE-GGA)

Data for crystalline ReNi2Au at its relaxed geometry.

Lattice parameters (Å, degrees): 2.7220 4.4082 9.1184 90.00 90.00 90.00
Last column: nearest neighbours and their distance in Å.
Space group Imm2 (No. 44)
Asymmetric unit:
1 Re 0.0000 0.0000 0.0000 (multiplicity 2)  6 Ni 2.49-2.62, 2 Re 2.72
2 Ni 0.0000 0.0000 0.4543 (multiplicity 2)  4 Ni 2.47-2.72, 4 Re 2.62
3 Ni 0.0000 0.5000 0.7288 (multiplicity 2)  4 Ni 2.47-2.72, 2 Re 2.49, 4 Au 2.59
4 Au 0.0000 0.5000 0.2191 (multiplicity 2)  6 Ni 2.59-2.77, 2 Au 2.72, 2 Re 2.90

Calculated values
The excess energy over the best structure of this formula in the dataset comes out at 0.266 eV per atom.

***

10.
## ReNi4Au (PBE-GGA)

Data for crystalline ReNi4Au at its relaxed geometry.

Lattice parameters (Å, degrees): 6.6878 6.6878 6.6878 90.00 90.00 90.00
Last column: nearest neighbours and their distance in Å.
Space group F-43m (No. 216)
Asymmetric unit:
1 Re 0.0000 0.0000 0.0000 (multiplicity 4)  12 Ni 2.77, 4 Au 2.90
2 Ni 0.1255 0.1255 0.3745 (multiplicity 16)  6 Ni 2.35-2.37
3 Au 0.2500 0.2500 0.7500 (multiplicity 4)  12 Ni 2.77, 4 Re 2.90

***

11.
## ReNi2Au (PBE-GGA)

Data for crystalline ReNi2Au at its relaxed geometry.

Lattice parameters (Å, degrees): 4.4777 4.4777 2.7238 90.00 90.00 90.00
Last column: nearest neighbours and their distance in Å.
Space group P4/mmm (No. 123)
Asymmetric unit:
1 Re 0.0000 0.0000 0.0000 (multiplicity 1)  8 Ni 2.62, 2 Re 2.72
2 Ni 0.0000 0.5000 0.5000 (multiplicity 2)  4 Re 2.62, 4 Au 2.62, 2 Ni 2.72
3 Au 0.5000 0.5000 0.0000 (multiplicity 1)  8 Ni 2.62, 2 Au 2.72

Calculated values
The excess energy over the best structure of this formula in the dataset comes out at 0.297 eV per atom.

***

12.
## ReNiAu (PBE-GGA)

Data for crystalline ReNiAu at its relaxed geometry.

Lattice parameters (Å, degrees): 2.7659 2.7659 6.6845 90.00 90.00 120.00
Last column: nearest neighbours and their distance in Å.
Space group P3m1 (No. 156)
Asymmetric unit:
1 Re 0.0000 0.0000 0.0000 (multiplicity 1)  3 Ni 2.53, 6 Re 2.77
2 Ni 0.3333 0.6667 0.7062 (multiplicity 1)  3 Re 2.53, 3 Au 2.76, 6 Ni 2.77
3 Au 0.6667 0.3333 0.3695 (multiplicity 1)  3 Ni 2.76, 6 Au 2.77, 3 Re 2.94

Calculated values
The excess energy over the best structure of this formula in the dataset comes out at 0.002 eV per atom.

***

13.
## ReNi2Au (PBE-GGA)

Data for crystalline ReNi2Au at its relaxed geometry.

Lattice parameters (Å, degrees): 5.5201 7.3892 2.6723 90.00 90.00 90.00
Last column: nearest neighbours and their distance in Å.
Space group Cmmm (No. 65)
Asymmetric unit:
1 Re 0.0000 0.0000 0.0000 (multiplicity 2)  8 Ni 2.67, 2 Re 2.67, 2 Au 2.76
2 Ni 0.2500 0.2500 0.5000 (multiplicity 4)  4 Re 2.67, 4 Au 2.67, 4 Ni 2.67-2.76
3 Au 0.0000 0.5000 0.0000 (multiplicity 2)  8 Ni 2.67, 2 Au 2.67, 2 Re 2.76

Calculated values
The excess energy over the best structure of this formula in the dataset comes out at 0.239 eV per atom.

***

14.
## ReNi2Au (PBE-GGA)

Data for crystalline ReNi2Au at its relaxed geometry.

Lattice parameters (Å, degrees): 6.7080 6.7080 5.3478 90.00 90.00 90.00
Last column: nearest neighbours and their distance in Å.
Space group I-42d (No. 122)
Asymmetric unit:
1 Re 0.0000 0.0000 0.0000 (multiplicity 4)  4 Ni 2.36
2 Ni 0.2267 0.2500 0.1250 (multiplicity 8)  2 Re 2.36, 2 Au 2.57
3 Au 0.0000 0.0000 0.5000 (multiplicity 4)  4 Ni 2.57, 2 Re 2.67

Calculated values
The excess energy over the best structure of this formula in the dataset comes out at 0.700 eV per atom.

***

15.
## ReNi2Au (PBE-GGA)

Data for crystalline ReNi2Au at its relaxed geometry.

Lattice parameters (Å, degrees): 3.9572 3.9572 6.8923 90.00 90.00 90.00
Last column: nearest neighbours and their distance in Å.
Space group I4/mmm (No. 139)
Asymmetric unit:
1 Re 0.0000 0.0000 0.0000 (multiplicity 2)  8 Ni 2.62, 4 Au 2.80
2 Ni 0.0000 0.5000 0.2500 (multiplicity 4)  4 Re 2.62, 4 Au 2.62, 4 Ni 2.80
3 Au 0.0000 0.0000 0.5000 (multiplicity 2)  8 Ni 2.62, 4 Re 2.80

Calculated values
The excess energy over the best structure of this formula in the dataset comes out at 0.266 eV per atom.

***

Table of ρ (g/cm³), in record order: 8.9 11.0 15.0 15.3 15.5 14.9 16.7 13.3 15.2 13.7 15.2 16.6 15.3 13.8 15.4
Table of DFT total energy (eV/atom), in record order: -2.95 -3.94 -6.62 -6.50 -6.51 -6.55 -6.75 -4.14 -6.52 -6.27 -6.49 -6.92 -6.55 -6.09 -6.52
Table of energy of formation (eV per atom), in record order: 0.00 1.67 0.20 0.67 0.31 0.28 0.42 1.47 0.30 0.21 0.33 0.25 0.28 0.74 0.30